# NdSm2Cu4Ge4, relaxed, DFT PBE-GGA
# volume = 18.749 Å³ per atom
# electronic total energy = -54.34 eV for the cell shown
data_NdSm2Cu4Ge4
_symmetry_space_group_name_H-M 'P 1'
_symmetry_Int_Tables_number 1
_symmetry_space_group_name_Hall 'P 1'
_cell_length_a 8.164
_cell_length_b 8.164
_cell_length_c 8.164
_cell_angle_alpha 149.53
_cell_angle_beta 131.13
_cell_angle_gamma 58.69
loop_
_atom_site_label
_atom_site_type_symbol
_atom_site_fract_x
_atom_site_fract_y
_atom_site_fract_z
Ge1 Ge 0.312 0.000 0.312
Ge2 Ge 0.688 0.000 0.688
Ge3 Ge 0.217 0.717 0.500
Ge4 Ge 0.783 0.283 0.500
Sm1 Sm 0.632 0.632 0.000
Sm2 Sm 0.368 0.368 0.000
Cu1 Cu 0.646 0.833 0.813
Cu2 Cu 0.020 0.833 0.187
Cu3 Cu 0.980 0.167 0.813
Cu4 Cu 0.354 0.167 0.187
Nd1 Nd 0.000 0.500 0.500


# Nd2SmCu4Sn2Ge2, relaxed, DFT PBE-GGA
# energy above the most stable polymorph in this dataset = 0.000 eV/atom
# volume = 20.375 Å³ per atom
# electronic total energy = -52.94 eV for the cell shown
data_Nd2SmCu4Sn2Ge2
_symmetry_space_group_name_H-M 'P 1'
_symmetry_Int_Tables_number 1
_symmetry_space_group_name_Hall 'P 1'
_cell_length_a 8.428
_cell_length_b 8.428
_cell_length_c 8.428
_cell_angle_alpha 149.11
_cell_angle_beta 132.71
_cell_angle_gamma 57.55
loop_
_atom_site_label
_atom_site_type_symbol
_atom_site_fract_x
_atom_site_fract_y
_atom_site_fract_z
Nd1 Nd 0.372 0.872 0.500
Nd2 Nd 0.628 0.128 0.500
Cu1 Cu 0.655 0.341 0.314
Cu2 Cu 0.973 0.659 0.314
Cu3 Cu 0.345 0.659 0.686
Cu4 Cu 0.027 0.341 0.686
Sm1 Sm 0.000 0.000 0.000
Ge1 Ge 0.690 0.500 0.190
Ge2 Ge 0.310 0.500 0.810
Sn1 Sn 0.217 0.217 0.000
Sn2 Sn 0.783 0.783 0.000


# Nd2SmCu4Sn2Ge2, relaxed, DFT PBE-GGA
# energy above the most stable polymorph in this dataset = 0.079 eV/atom
# volume = 20.448 Å³ per atom
# electronic total energy = -52.08 eV for the cell shown
data_Nd2SmCu4Sn2Ge2
_symmetry_space_group_name_H-M 'P 1'
_symmetry_Int_Tables_number 1
_symmetry_space_group_name_Hall 'P 1'
_cell_length_a 8.409
_cell_length_b 8.409
_cell_length_c 8.409
_cell_angle_alpha 149.66
_cell_angle_beta 131.00
_cell_angle_gamma 58.73
loop_
_atom_site_label
_atom_site_type_symbol
_atom_site_fract_x
_atom_site_fract_y
_atom_site_fract_z
Ge1 Ge 0.716 0.216 0.500
Ge2 Ge 0.284 0.784 0.500
Sn1 Sn 0.799 0.500 0.299
Sn2 Sn 0.201 0.500 0.701
Cu1 Cu 0.144 0.327 0.817
Cu2 Cu 0.856 0.673 0.183
Cu3 Cu 0.490 0.673 0.817
Cu4 Cu 0.510 0.327 0.183
Sm1 Sm 0.500 0.000 0.500
Nd1 Nd 0.137 0.137 0.000
Nd2 Nd 0.863 0.863 0.000


# NdY2Cu4Sn2Ge2, relaxed, DFT PBE-GGA
# energy above the most stable polymorph in this dataset = 0.000 eV/atom
# volume = 19.698 Å³ per atom
# electronic total energy = -56.43 eV for the cell shown
data_NdY2Cu4Sn2Ge2
_symmetry_space_group_name_H-M 'P 1'
_symmetry_Int_Tables_number 1
_symmetry_space_group_name_Hall 'P 1'
_cell_length_a 8.342
_cell_length_b 8.342
_cell_length_c 8.342
_cell_angle_alpha 149.66
_cell_angle_beta 131.90
_cell_angle_gamma 57.94
loop_
_atom_site_label
_atom_site_type_symbol
_atom_site_fract_x
_atom_site_fract_y
_atom_site_fract_z
Sn1 Sn 0.780 0.780 0.000
Sn2 Sn 0.220 0.220 0.000
Cu1 Cu 0.971 0.660 0.311
Cu2 Cu 0.029 0.340 0.689
Cu3 Cu 0.651 0.340 0.311
Cu4 Cu 0.349 0.660 0.689
Y1 Y 0.625 0.125 0.500
Y2 Y 0.375 0.875 0.500
Ge1 Ge 0.313 0.500 0.813
Ge2 Ge 0.687 0.500 0.187
Nd1 Nd 0.000 0.000 0.000


# Nd2YCu4Sn2Ge2, relaxed, DFT PBE-GGA
# energy above the most stable polymorph in this dataset = 0.073 eV/atom
# volume = 20.196 Å³ per atom
# electronic total energy = -53.87 eV for the cell shown
data_Nd2YCu4Sn2Ge2
_symmetry_space_group_name_H-M 'P 1'
_symmetry_Int_Tables_number 1
_symmetry_space_group_name_Hall 'P 1'
_cell_length_a 8.385
_cell_length_b 8.385
_cell_length_c 8.385
_cell_angle_alpha 149.62
_cell_angle_beta 131.33
_cell_angle_gamma 58.46
loop_
_atom_site_label
_atom_site_type_symbol
_atom_site_fract_x
_atom_site_fract_y
_atom_site_fract_z
Nd1 Nd 0.362 0.862 0.500
Nd2 Nd 0.638 0.138 0.500
Cu1 Cu 0.010 0.327 0.683
Cu2 Cu 0.990 0.673 0.317
Cu3 Cu 0.356 0.673 0.683
Cu4 Cu 0.644 0.327 0.317
Y1 Y 0.000 0.000 0.000
Sn1 Sn 0.703 0.500 0.203
Sn2 Sn 0.297 0.500 0.797
Ge1 Ge 0.785 0.785 0.000
Ge2 Ge 0.215 0.215 0.000


# Nd2YCu4Sn2Ge2, relaxed, DFT PBE-GGA
# energy above the most stable polymorph in this dataset = 0.000 eV/atom
# volume = 20.085 Å³ per atom
# electronic total energy = -54.68 eV for the cell shown
data_Nd2YCu4Sn2Ge2
_symmetry_space_group_name_H-M 'P 1'
_symmetry_Int_Tables_number 1
_symmetry_space_group_name_Hall 'P 1'
_cell_length_a 8.385
_cell_length_b 8.385
_cell_length_c 8.385
_cell_angle_alpha 149.13
_cell_angle_beta 132.63
_cell_angle_gamma 57.61
loop_
_atom_site_label
_atom_site_type_symbol
_atom_site_fract_x
_atom_site_fract_y
_atom_site_fract_z
Nd1 Nd 0.372 0.872 0.500
Nd2 Nd 0.628 0.128 0.500
Sn1 Sn 0.216 0.216 0.000
Sn2 Sn 0.784 0.784 0.000
Y1 Y 0.000 0.000 0.000
Cu1 Cu 0.654 0.341 0.313
Cu2 Cu 0.028 0.341 0.687
Cu3 Cu 0.346 0.659 0.687
Cu4 Cu 0.972 0.659 0.313
Ge1 Ge 0.307 0.500 0.807
Ge2 Ge 0.693 0.500 0.193


# NdY2Cu4Sn2Ge2, relaxed, DFT PBE-GGA
# energy above the most stable polymorph in this dataset = 0.074 eV/atom
# volume = 19.904 Å³ per atom
# electronic total energy = -55.61 eV for the cell shown
data_NdY2Cu4Sn2Ge2
_symmetry_space_group_name_H-M 'P 1'
_symmetry_Int_Tables_number 1
_symmetry_space_group_name_Hall 'P 1'
_cell_length_a 8.306
_cell_length_b 8.306
_cell_length_c 8.306
_cell_angle_alpha 149.93
_cell_angle_beta 129.76
_cell_angle_gamma 59.67
loop_
_atom_site_label
_atom_site_type_symbol
_atom_site_fract_x
_atom_site_fract_y
_atom_site_fract_z
Sn1 Sn 0.697 0.500 0.197
Sn2 Sn 0.303 0.500 0.803
Y1 Y 0.635 0.135 0.500
Y2 Y 0.365 0.865 0.500
Nd1 Nd 0.000 0.000 0.000
Ge1 Ge 0.218 0.218 0.000
Ge2 Ge 0.782 0.782 0.000
Cu1 Cu 0.363 0.677 0.687
Cu2 Cu 0.010 0.323 0.687
Cu3 Cu 0.990 0.677 0.313
Cu4 Cu 0.637 0.323 0.313


# TbNdCu2Ge4, relaxed, DFT PBE-GGA
# volume = 19.199 Å³ per atom
# electronic total energy = -39.73 eV for the cell shown
data_TbNdCu2Ge4
_symmetry_space_group_name_H-M 'P 1'
_symmetry_Int_Tables_number 1
_symmetry_space_group_name_Hall 'P 1'
_cell_length_a 4.234
_cell_length_b 8.859
_cell_length_c 8.859
_cell_angle_alpha 27.53
_cell_angle_beta 90.00
_cell_angle_gamma 90.00
loop_
_atom_site_label
_atom_site_type_symbol
_atom_site_fract_x
_atom_site_fract_y
_atom_site_fract_z
Ge1 Ge 0.500 0.749 0.749
Ge2 Ge 0.000 0.248 0.248
Ge3 Ge 0.000 0.539 0.539
Ge4 Ge 0.500 0.463 0.463
Cu1 Cu 0.000 0.674 0.674
Cu2 Cu 0.500 0.325 0.325
Nd1 Nd 0.000 0.896 0.896
Tb1 Tb 0.500 0.105 0.105


# NdY2Cu4Ge4, relaxed, DFT PBE-GGA
# volume = 18.263 Å³ per atom
# electronic total energy = -57.99 eV for the cell shown
data_NdY2Cu4Ge4
_symmetry_space_group_name_H-M 'P 1'
_symmetry_Int_Tables_number 1
_symmetry_space_group_name_Hall 'P 1'
_cell_length_a 8.089
_cell_length_b 8.089
_cell_length_c 8.089
_cell_angle_alpha 149.75
_cell_angle_beta 130.60
_cell_angle_gamma 59.03
loop_
_atom_site_label
_atom_site_type_symbol
_atom_site_fract_x
_atom_site_fract_y
_atom_site_fract_z
Ge1 Ge 0.313 0.000 0.313
Ge2 Ge 0.219 0.719 0.500
Ge3 Ge 0.781 0.281 0.500
Ge4 Ge 0.687 0.000 0.687
Y1 Y 0.631 0.631 0.000
Y2 Y 0.369 0.369 0.000
Cu1 Cu 0.643 0.832 0.811
Cu2 Cu 0.980 0.168 0.811
Cu3 Cu 0.357 0.168 0.189
Cu4 Cu 0.020 0.832 0.189
Nd1 Nd 0.000 0.500 0.500


# NdYCu2Ge4, relaxed, DFT PBE-GGA
# volume = 19.079 Å³ per atom
# electronic total energy = -41.53 eV for the cell shown
data_NdYCu2Ge4
_symmetry_space_group_name_H-M 'P 1'
_symmetry_Int_Tables_number 1
_symmetry_space_group_name_Hall 'P 1'
_cell_length_a 4.225
_cell_length_b 8.854
_cell_length_c 8.854
_cell_angle_alpha 27.44
_cell_angle_beta 90.00
_cell_angle_gamma 90.00
loop_
_atom_site_label
_atom_site_type_symbol
_atom_site_fract_x
_atom_site_fract_y
_atom_site_fract_z
Cu1 Cu 0.500 0.326 0.326
Cu2 Cu 0.000 0.674 0.674
Y1 Y 0.500 0.104 0.104
Nd1 Nd 0.000 0.896 0.896
Ge1 Ge 0.000 0.539 0.539
Ge2 Ge 0.000 0.249 0.249
Ge3 Ge 0.500 0.463 0.463
Ge4 Ge 0.500 0.749 0.749